# 1
Entry from Alexandria via LeMat-Bulk: crystalline Fe2ReAg at its relaxed geometry (PBE-GGA).

Results
ΔE_f = 439 meV/atom
energy above the most stable polymorph in this dataset = 13.3 kJ/mol of atoms
mass density = 12.140 Mg/m³

abc: 6.1160 4.6717 2.6704
angles: 89.94 64.22 122.02
Last column: nearest neighbours and their distance in Å.
Positions (direct):
Fe 0.5000 0.0000 0.5000  4 Fe 2.67-2.75, 4 Re 2.69, 4 Ag 2.69
Fe 0.0000 0.0000 0.0000  4 Fe 2.67-2.75, 4 Ag 2.69, 4 Re 2.69
Ag 0.5000 0.5000 0.0000  2 Ag 2.67, 8 Fe 2.69, 2 Re 2.75
Re 0.0000 0.5000 0.5000  2 Re 2.67, 8 Fe 2.69, 2 Ag 2.75



# 2
Entry from Alexandria via LeMat-Bulk: crystalline Fe2ReAg at its relaxed geometry (PBE-GGA).

Results
ΔE_f = 371 meV/atom
energy above the most stable polymorph in this dataset = 6.7 kJ/mol of atoms
mass density = 11.996 Mg/m³

abc: 3.6830 2.7132 6.2447
angles: 64.17 90.00 90.00
Last column: nearest neighbours and their distance in Å.
Positions (direct):
Fe 0.0000 0.9647 0.0355  1 Fe 2.41, 4 Re 2.58-2.59
Re 0.5000 0.2500 0.2500  8 Fe 2.58-2.59, 2 Re 2.71, 2 Ag 2.81
Ag 0.5000 0.7500 0.7500  2 Ag 2.71, 8 Fe 2.79-2.80, 2 Re 2.81
Fe 0.0000 0.5353 0.4645  1 Fe 2.41, 4 Re 2.58-2.59



# 3
Entry from Alexandria via LeMat-Bulk: crystalline FeReAg2 at its relaxed geometry (PBE-GGA).

Results
ΔE_f = 790 meV/atom
energy above the most stable polymorph in this dataset = 43.2 kJ/mol of atoms
mass density = 12.192 Mg/m³

abc: 4.3857 3.7705 3.7705
angles: 90.00 90.00 90.00
Last column: nearest neighbours and their distance in Å.
Positions (direct):
Ag 0.0000 0.5000 0.5000  4 Ag 2.67, 4 Fe 2.89, 4 Re 2.89
Ag 0.0000 0.0000 0.0000  4 Ag 2.67, 4 Fe 2.89, 4 Re 2.89
Re 0.5000 0.0000 0.5000  4 Fe 2.67, 8 Ag 2.89
Fe 0.5000 0.5000 0.0000  4 Re 2.67, 8 Ag 2.89



# 4
Entry from Alexandria via LeMat-Bulk: crystalline FeReAg2 at its relaxed geometry (PBE-GGA).

Results
ΔE_f = 1437 meV/atom
energy above the most stable polymorph in this dataset = 105.6 kJ/mol of atoms
mass density = 11.526 Mg/m³

abc: 7.2487 7.2487 5.7074
angles: 50.58 50.58 90.00
Last column: nearest neighbours and their distance in Å.
Positions (direct):
Fe 0.2500 0.7500 0.5000  2 Re 2.51, 4 Ag 2.52
Ag 0.3750 0.3992 0.7500  2 Fe 2.52, 2 Ag 2.53, 2 Re 2.76
Fe 0.5000 0.5000 0.0000  2 Re 2.51, 4 Ag 2.52
Ag 0.1492 0.6250 0.2500  2 Fe 2.52, 2 Ag 2.53, 2 Re 2.76
Ag 0.6008 0.1250 0.2500  2 Fe 2.52, 2 Ag 2.53, 2 Re 2.76
Ag 0.8750 0.8508 0.7500  2 Fe 2.52, 2 Ag 2.53, 2 Re 2.76
Re 0.7500 0.2500 0.5000  2 Fe 2.51, 4 Ag 2.76
Re 0.0000 0.0000 0.0000  2 Fe 2.51, 4 Ag 2.76



# 5
Entry from Alexandria via LeMat-Bulk: crystalline FeReAg at its relaxed geometry (PBE-GGA).

Results
ΔE_f = 934 meV/atom
energy above the most stable polymorph in this dataset = 52.3 kJ/mol of atoms
mass density = 11.961 Mg/m³

abc: 4.0956 4.0956 4.0956
angles: 60.00 60.00 60.00
Last column: nearest neighbours and their distance in Å.
Positions (direct):
Fe 0.7500 0.7500 0.7500  4 Re 2.51, 4 Ag 2.51
Re 0.0000 0.0000 0.0000  4 Fe 2.51
Ag 0.5000 0.5000 0.5000  4 Fe 2.51



# 6
Entry from Alexandria via LeMat-Bulk: crystalline FeReAg2 at its relaxed geometry (PBE-GGA).

Results
ΔE_f = 597 meV/atom
energy above the most stable polymorph in this dataset = 24.5 kJ/mol of atoms
mass density = 12.050 Mg/m³

abc: 2.6613 2.6613 9.4773
angles: 90.00 90.00 109.98
Last column: nearest neighbours and their distance in Å.
Positions (direct):
Ag 0.0000 0.0000 0.4902  4 Ag 2.66, 2 Fe 2.74, 2 Re 2.90
Re 0.5000 0.5000 0.7500  4 Re 2.66, 4 Ag 2.90
Ag 0.0000 0.0000 0.0098  4 Ag 2.66, 2 Fe 2.74, 2 Re 2.90
Fe 0.5000 0.5000 0.2500  4 Fe 2.66, 4 Ag 2.74



# 7
Entry from Alexandria via LeMat-Bulk: crystalline Fe2Re2Ag at its relaxed geometry (PBE-GGA).

Results
ΔE_f = 715 meV/atom
energy above the most stable polymorph in this dataset = 38.8 kJ/mol of atoms
mass density = 12.800 Mg/m³

abc: 3.7703 3.7703 6.0245
angles: 71.76 71.76 90.00
Last column: nearest neighbours and their distance in Å.
Positions (direct):
Ag 0.0000 0.0000 0.0000  8 Re 2.95, 8 Fe 3.29
Fe 0.2500 0.7500 0.5000  4 Re 2.37
Fe 0.7500 0.2500 0.5000  4 Re 2.37
Re 0.3837 0.3837 0.2326  4 Fe 2.37, 1 Re 2.51
Re 0.6163 0.6163 0.7674  4 Fe 2.37, 1 Re 2.51



# 8
Entry from Alexandria via LeMat-Bulk: crystalline FeReAg2 at its relaxed geometry (PBE-GGA).

Results
ΔE_f = 343 meV/atom
energy above the most stable polymorph in this dataset = 0.1 kJ/mol of atoms
mass density = 12.321 Mg/m³

abc: 2.7932 2.7932 7.9077
angles: 90.00 90.00 90.00
Last column: nearest neighbours and their distance in Å.
Positions (direct):
Ag 0.0000 0.0000 0.9921  8 Ag 2.79-2.96, 4 Re 2.99
Re 0.5000 0.5000 0.7088  4 Fe 2.44
Fe 0.0000 0.0000 0.5279  4 Re 2.44
Ag 0.5000 0.5000 0.2712  8 Ag 2.79-2.96, 4 Fe 2.83



# 9
Entry from Alexandria via LeMat-Bulk: crystalline FeReAg2 at its relaxed geometry (PBE-GGA).

Results
ΔE_f = 608 meV/atom
energy above the most stable polymorph in this dataset = 25.6 kJ/mol of atoms
mass density = 12.184 Mg/m³

abc: 2.6617 2.6617 8.8062
angles: 90.00 90.00 90.00
Last column: nearest neighbours and their distance in Å.
Positions (direct):
Ag 0.0000 0.0000 0.0105  4 Ag 2.66, 4 Fe 2.83, 4 Re 2.97
Ag 0.0000 0.0000 0.4895  4 Ag 2.66, 4 Fe 2.83, 4 Re 2.97
Re 0.5000 0.5000 0.7500  4 Re 2.66, 8 Ag 2.97
Fe 0.5000 0.5000 0.2500  4 Fe 2.66, 8 Ag 2.83



# 10
Entry from Alexandria via LeMat-Bulk: crystalline Fe2ReAg at its relaxed geometry (PBE-GGA).

Results
ΔE_f = 521 meV/atom
energy above the most stable polymorph in this dataset = 21.2 kJ/mol of atoms
mass density = 12.322 Mg/m³

abc: 4.4934 4.4934 4.4934
angles: 128.03 128.03 76.58
Last column: nearest neighbours and their distance in Å.
Positions (direct):
Ag 0.7500 0.2500 0.5000  8 Fe 2.64, 4 Re 2.78
Fe 0.5000 0.5000 0.0000  4 Ag 2.64, 4 Re 2.64, 4 Fe 2.78
Fe 0.0000 0.0000 0.0000  4 Re 2.64, 4 Ag 2.64, 4 Fe 2.78
Re 0.2500 0.7500 0.5000  8 Fe 2.64, 4 Ag 2.78



Respective total magnetic moment values: 4.5, 3.8, 3.2, 0.1, 1.6, 2.9, 0.0, 0.6, 2.9, 3.8 μB/cell.